1.
Material: Tb6HC2Se3
Method: DFT, PBE
State: optimized geometry

```
data_Tb6HC2Se3
_chemical_formula_sum 'Tb12 H2 C4 Se6'
_cell_length_a 16.9800
_cell_length_b 3.8174
_cell_length_c 7.9178
_cell_angle_alpha 90.00
_cell_angle_beta 105.67
_cell_angle_gamma 90.00
_symmetry_space_group_name_H-M 'C 1 2/m 1'
_symmetry_Int_Tables_number 12
loop_
_symmetry_equiv_pos_as_xyz
'x,y,z'
'-x,-y,-z'
'-x,y,-z'
'x,-y,z'
'x+1/2,y+1/2,z'
'-x+1/2,-y+1/2,-z'
'-x+1/2,y+1/2,-z'
'x+1/2,-y+1/2,z'
loop_
_atom_site_label
_atom_site_type_symbol
_atom_site_fract_x
_atom_site_fract_y
_atom_site_fract_z
_atom_site_occupancy
Tb1 Tb 0.0160 0.0000 0.2529 1
Tb2 Tb 0.1649 0.5000 0.1203 1
Tb3 Tb 0.1771 0.5000 0.5589 1
H1 H 0.0000 0.5000 0.0000 1
C1 C 0.1652 0.0000 0.3312 1
Se1 Se 0.0000 0.5000 0.5000 1
Se2 Se 0.1630 0.0000 0.8344 1
```

Summary:
- Crystal system: monoclinic
- ρ: 8.2 Mg/m³
- Size of the total moment: 0.000 μB per cell
- DFT total energy: -6.12 eV per atom
- D(E_F): 2.996 states/eV/f.u.

2.
Material: Th6HC2Se3
Method: DFT, PBE
State: optimized geometry

```
data_Th6HC2Se3
_chemical_formula_sum 'Th12 H2 C4 Se6'
_cell_length_a 17.7874
_cell_length_b 3.8409
_cell_length_c 8.3714
_cell_angle_alpha 90.00
_cell_angle_beta 108.43
_cell_angle_gamma 90.00
_symmetry_space_group_name_H-M 'C 1 2/m 1'
_symmetry_Int_Tables_number 12
loop_
_symmetry_equiv_pos_as_xyz
'x,y,z'
'-x,-y,-z'
'-x,y,-z'
'x,-y,z'
'x+1/2,y+1/2,z'
'-x+1/2,-y+1/2,-z'
'-x+1/2,y+1/2,-z'
'x+1/2,-y+1/2,z'
loop_
_atom_site_label
_atom_site_type_symbol
_atom_site_fract_x
_atom_site_fract_y
_atom_site_fract_z
_atom_site_occupancy
Th1 Th 0.0120 0.0000 0.2327 1
Th2 Th 0.1574 0.5000 0.1137 1
Th3 Th 0.1767 0.5000 0.5544 1
H1 H 0.0000 0.5000 0.0000 1
C1 C 0.1681 0.0000 0.3354 1
Se1 Se 0.0000 0.5000 0.5000 1
Se2 Se 0.1679 0.0000 0.8348 1
```

Summary:
- Crystal system: monoclinic
- ρ: 10.1 Mg/m³
- Size of the total moment: 0.002 μB per cell
- DFT total energy: -7.37 eV per atom
- D(E_F): 8.375 states/eV/f.u.

3.
Material: Y3HCSe
Method: DFT, PBE
State: optimized geometry

```
data_Y3HCSe
_chemical_formula_sum 'Y6 H2 C2 Se2'
_cell_length_a 7.8755
_cell_length_b 3.7113
_cell_length_c 8.0958
_cell_angle_alpha 90.00
_cell_angle_beta 103.10
_cell_angle_gamma 90.00
_symmetry_space_group_name_H-M 'P 1 21/m 1'
_symmetry_Int_Tables_number 11
loop_
_symmetry_equiv_pos_as_xyz
'x,y,z'
'-x,-y,-z'
'-x,y+1/2,-z'
'x,-y+1/2,z'
loop_
_atom_site_label
_atom_site_type_symbol
_atom_site_fract_x
_atom_site_fract_y
_atom_site_fract_z
_atom_site_occupancy
Y1 Y 0.0497 0.2500 0.3401 1
Y2 Y 0.2717 0.2500 0.9681 1
Y3 Y 0.3696 0.7500 0.6401 1
H1 H 0.4220 0.7500 0.9209 1
C1 C 0.1676 0.2500 0.6590 1
Se1 Se 0.3259 0.7500 0.2743 1
```

Summary:
- Crystal system: monoclinic
- ρ: 5.2 Mg/m³
- Size of the total moment: 0.000 μB per cell
- DFT total energy: -6.84 eV per atom
- D(E_F): 2.917 states/eV/f.u.

4.
Material: Y6HC2Se3
Method: DFT, PBE
State: optimized geometry

```
data_Y6HC2Se3
_chemical_formula_sum 'Y12 H2 C4 Se6'
_cell_length_a 16.9106
_cell_length_b 3.8086
_cell_length_c 7.8909
_cell_angle_alpha 90.00
_cell_angle_beta 105.72
_cell_angle_gamma 90.00
_symmetry_space_group_name_H-M 'C 1 2/m 1'
_symmetry_Int_Tables_number 12
loop_
_symmetry_equiv_pos_as_xyz
'x,y,z'
'-x,-y,-z'
'-x,y,-z'
'x,-y,z'
'x+1/2,y+1/2,z'
'-x+1/2,-y+1/2,-z'
'-x+1/2,y+1/2,-z'
'x+1/2,-y+1/2,z'
loop_
_atom_site_label
_atom_site_type_symbol
_atom_site_fract_x
_atom_site_fract_y
_atom_site_fract_z
_atom_site_occupancy
Y1 Y 0.0160 0.0000 0.2527 1
Y2 Y 0.1646 0.5000 0.1206 1
Y3 Y 0.1773 0.5000 0.5584 1
H1 H 0.0000 0.5000 0.0000 1
C1 C 0.1654 0.0000 0.3313 1
Se1 Se 0.0000 0.5000 0.5000 1
Se2 Se 0.1626 0.0000 0.8348 1
```

Summary:
- Crystal system: monoclinic
- ρ: 5.4 Mg/m³
- Size of the total moment: 0.000 μB per cell
- DFT total energy: -7.05 eV per atom
- D(E_F): 3.071 states/eV/f.u.

5.
Material: Zr2HCSe
Method: DFT, PBE
State: optimized geometry

```
data_Zr2HCSe
_chemical_formula_sum 'Zr2 H1 C1 Se1'
_cell_length_a 4.4949
_cell_length_b 4.4949
_cell_length_c 4.2809
_cell_angle_alpha 90.00
_cell_angle_beta 90.00
_cell_angle_gamma 90.00
_symmetry_space_group_name_H-M 'P 4/m m m'
_symmetry_Int_Tables_number 123
_symmetry_space_group_name_Hall '-P 4 2'
loop_
_atom_site_label
_atom_site_type_symbol
_atom_site_fract_x
_atom_site_fract_y
_atom_site_fract_z
_atom_site_occupancy
Zr1 Zr 0.0000 0.5000 0.0000 1
H1 H 0.0000 0.0000 0.5000 1
C1 C 0.5000 0.5000 0.0000 1
Se1 Se 0.5000 0.5000 0.5000 1
```

Summary:
- Crystal system: tetragonal
- ρ: 5.3 Mg/m³
- Size of the total moment: 0.000 μB per cell
- DFT total energy: -6.17 eV per atom
- D(E_F): 3.183 states/eV/f.u.

6.
Material: Sm3TeHC
Method: DFT, PBE
State: optimized geometry

```
data_Sm3TeHC
_chemical_formula_sum 'Sm6 Te2 H2 C2'
_cell_length_a 8.3770
_cell_length_b 3.9013
_cell_length_c 8.5694
_cell_angle_alpha 90.00
_cell_angle_beta 105.00
_cell_angle_gamma 90.00
_symmetry_space_group_name_H-M 'P 1 21/m 1'
_symmetry_Int_Tables_number 11
loop_
_symmetry_equiv_pos_as_xyz
'x,y,z'
'-x,-y,-z'
'-x,y+1/2,-z'
'x,-y+1/2,z'
loop_
_atom_site_label
_atom_site_type_symbol
_atom_site_fract_x
_atom_site_fract_y
_atom_site_fract_z
_atom_site_occupancy
Sm1 Sm 0.0422 0.2500 0.3442 1
Sm2 Sm 0.2823 0.2500 0.9545 1
Sm3 Sm 0.3630 0.7500 0.6370 1
Te1 Te 0.3191 0.7500 0.2629 1
H1 H 0.4204 0.7500 0.9164 1
C1 C 0.1671 0.2500 0.6540 1
```

Summary:
- Crystal system: monoclinic
- ρ: 7.3 Mg/m³
- Size of the total moment: 0.000 μB per cell
- DFT total energy: -5.70 eV per atom
- D(E_F): 2.662 states/eV/f.u.

7.
Material: Sn2TeHC
Method: DFT, PBE
State: optimized geometry

```
data_Sn2TeHC
_chemical_formula_sum 'Sn2 Te1 H1 C1'
_cell_length_a 5.9576
_cell_length_b 5.9576
_cell_length_c 4.2522
_cell_angle_alpha 90.00
_cell_angle_beta 90.00
_cell_angle_gamma 90.00
_symmetry_space_group_name_H-M 'P 4/m m m'
_symmetry_Int_Tables_number 123
_symmetry_space_group_name_Hall '-P 4 2'
loop_
_atom_site_label
_atom_site_type_symbol
_atom_site_fract_x
_atom_site_fract_y
_atom_site_fract_z
_atom_site_occupancy
Sn1 Sn 0.0000 0.5000 0.0000 1
Te1 Te 0.0000 0.0000 0.0000 1
H1 H 0.5000 0.5000 0.5000 1
C1 C 0.0000 0.0000 0.5000 1
```

Summary:
- Crystal system: tetragonal
- ρ: 4.2 Mg/m³
- Size of the total moment: 0.000 μB per cell
- DFT total energy: -2.99 eV per atom
- D(E_F): 3.873 states/eV/f.u.

8.
Material: SnTeHC2
Method: DFT, PBE
State: optimized geometry

```
data_SnTeHC2
_chemical_formula_sum 'Sn1 Te1 H1 C2'
_cell_length_a 4.4387
_cell_length_b 4.4387
_cell_length_c 3.6229
_cell_angle_alpha 90.00
_cell_angle_beta 90.00
_cell_angle_gamma 90.00
_symmetry_space_group_name_H-M 'P 4/m m m'
_symmetry_Int_Tables_number 123
_symmetry_space_group_name_Hall '-P 4 2'
loop_
_atom_site_label
_atom_site_type_symbol
_atom_site_fract_x
_atom_site_fract_y
_atom_site_fract_z
_atom_site_occupancy
Sn1 Sn 0.0000 0.0000 0.0000 1
Te1 Te 0.5000 0.5000 0.5000 1
H1 H 0.0000 0.0000 0.5000 1
C1 C 0.0000 0.5000 0.0000 1
```

Summary:
- Polymorph energy (0 for the lowest one): 0.000 eV/atom
- Crystal system: tetragonal
- ρ: 6.3 Mg/m³
- Size of the total moment: 0.000 μB per cell
- DFT total energy: -4.02 eV per atom
- D(E_F): 3.815 states/eV/f.u.